## Er4PuIn (PBE)

Data for crystalline Er4PuIn at its relaxed geometry.

a b c (Å): 10.895 10.895 6.829
angles (deg): 90.00 90.00 90.00
Space group I4_1md (No. 109)
Inequivalent atoms, fractional coordinates:
Er: 0.000 0.264 0.000 [8 per cell]
Er: 0.000 0.270 0.485 [8 per cell]
Pu: 0.000 0.000 0.995 [4 per cell]
In: 0.000 0.000 0.496 [4 per cell]

Summary:
DOS at the Fermi energy   36.27 states/eV/cell
VASP energy   -32.418 eV/f.u.

## Rb2NaSnI5 (PBE)

Data for crystalline Rb2NaSnI5 at its relaxed geometry.

a b c (Å): 5.029 20.632 15.987
angles (deg): 90.00 90.00 90.00
Space group Cmc2_1 (No. 36)
Inequivalent atoms, fractional coordinates:
Rb: 0.000 0.108 0.000 [4 per cell]
Rb: 0.000 0.149 0.630 [4 per cell]
Na: 0.000 0.215 0.353 [4 per cell]
Sn: 0.000 0.468 0.771 [4 per cell]
I: 0.000 0.057 0.384 [4 per cell]
I: 0.000 0.281 0.982 [4 per cell]
I: 0.000 0.325 0.711 [4 per cell]
I: 0.000 0.373 0.317 [4 per cell]
I: 0.000 0.489 0.087 [4 per cell]

Summary:
DOS at the Fermi energy   0.00 states/eV/cell
E_form (uncorrected)   -1081.6 meV per atom

## La4TbPrHo2 (PBE)

Data for crystalline La4TbPrHo2 at its relaxed geometry.

a b c (Å): 5.222 5.258 10.117
angles (deg): 90.00 90.00 90.00
Space group Pmmm (No. 47)
Inequivalent atoms, fractional coordinates:
La: 0.000 0.000 0.246 [2 per cell]
La: 0.500 0.500 0.247 [2 per cell]
Tb: 0.000 0.500 0.500 [1 per cell]
Pr: 0.500 0.000 0.500 [1 per cell]
Ho: 0.000 0.500 0.000 [1 per cell]
Ho: 0.500 0.000 0.000 [1 per cell]

Summary:
DOS at the Fermi energy   11.17 states/eV/cell
VASP energy   -38.130 eV/f.u.